1.
{"formula": "UZnSb2", "functional": "PBE-GGA", "state": "relaxed", "raw_formation_energy_mev_per_atom": -86, "sg": "P4/mmm (123)", "cell": [[3.908, 0.000, 0.000], [0.000, 3.908, 0.000], [0.000, 0.000, 6.271]], "species": ["U", "Zn", "Sb", "Sb"], "fractional_positions": [[0.000, 0.000, 0.000], [0.000, 0.000, 0.500], [0.500, 0.500, 0.255], [0.500, 0.500, 0.745]]}

---

2.
{"formula": "TbPr2Nd", "functional": "PBE-GGA", "state": "relaxed", "de_polymorph_ev_per_atom": 0.093, "delta_e_f_ev_per_atom": 0.1057, "sg": "P4/mmm (123)", "cell": [[4.305, 0.000, 0.000], [0.000, 4.305, 0.000], [0.000, 0.000, 7.528]], "species": ["Tb", "Pr", "Pr", "Nd"], "fractional_positions": [[0.000, 0.000, 0.000], [0.500, 0.500, 0.244], [0.500, 0.500, 0.756], [0.000, 0.000, 0.500]]}